# Rb2NaTlBr6

An optimized crystal structure of Rb2NaTlBr6 (PBE, Alexandria via LeMat-Bulk).

Computed properties:
* density: 4.0 g cm⁻³
* energy relative to the elements, uncorrected: -1.1915 eV/atom

abc: 8.0410 8.0410 8.0410
angles: 60.00 60.00 60.00
Closest atoms and distances in Å follow each position.
Fractional positions:
1 Rb 0.2500 0.2500 0.2500  12 Br 4.02
2 Rb 0.7500 0.7500 0.7500  12 Br 4.02
3 Na 0.0000 0.0000 0.0000  6 Br 2.91
4 Tl 0.5000 0.5000 0.5000  6 Br 2.78
5 Br 0.2557 0.2557 0.7443  1 Tl 2.78, 1 Na 2.91
6 Br 0.2557 0.7443 0.2557  1 Tl 2.78, 1 Na 2.91
7 Br 0.2557 0.7443 0.7443  1 Tl 2.78, 1 Na 2.91
8 Br 0.7443 0.2557 0.2557  1 Tl 2.78, 1 Na 2.91
9 Br 0.7443 0.2557 0.7443  1 Tl 2.78, 1 Na 2.91
10 Br 0.7443 0.7443 0.2557  1 Tl 2.78, 1 Na 2.91